(1)
# ScAgSb2 (PBE, relaxed)
data_ScAgSb2
_chemical_formula_sum 'Sc4 Ag4 Sb8'
_symmetry_space_group_name_H-M 'F -4 3 m'
_symmetry_Int_Tables_number 216
_symmetry_space_group_name_Hall 'F -4 2 3'
_cell_length_a 7.230
_cell_length_b 7.230
_cell_length_c 7.230
_cell_angle_alpha 90.00
_cell_angle_beta 90.00
_cell_angle_gamma 90.00
loop_
_atom_site_label
_atom_site_type_symbol
_atom_site_fract_x
_atom_site_fract_y
_atom_site_fract_z
_atom_site_occupancy
Sc1 Sc 0.000 0.000 0.000 1
Ag1 Ag 0.250 0.250 0.750 1
Sb1 Sb 0.000 0.000 0.500 1
Sb2 Sb 0.250 0.250 0.250 1
# crystal system	cubic
# E	-70.72	eV for the cell shown
# V	23.6	A^3/atom

---

(2)
# KZrAu (PBE, relaxed)
data_KZrAu
_chemical_formula_sum 'K1 Zr1 Au1'
_symmetry_space_group_name_H-M 'P 3 m 1'
_symmetry_Int_Tables_number 156
_cell_length_a 5.2816
_cell_length_b 5.2816
_cell_length_c 2.9124
_cell_angle_alpha 90.00
_cell_angle_beta 90.00
_cell_angle_gamma 120.00
loop_
_symmetry_equiv_pos_as_xyz
'x,y,z'
'-y,x-y,z'
'-x+y,-x,z'
'-y,-x,z'
'-x+y,y,z'
'x,x-y,z'
loop_
_atom_site_label
_atom_site_type_symbol
_atom_site_fract_x
_atom_site_fract_y
_atom_site_fract_z
_atom_site_occupancy
K1 K 0.0000 0.0000 0.0000 1
Zr1 Zr 0.6667 0.3333 0.2181 1
Au1 Au 0.3333 0.6667 0.6013 1
# energy relative to the lowest polymorph listed for this composition	1.346	eV per formula unit
# crystal system	trigonal
# energy relative to the elements	1.58	eV/f.u.
# E	-11.34	eV for the cell shown
# V	23.5	A^3/atom

---

(3)
# LiYSn (PBE, relaxed)
data_LiYSn
_chemical_formula_sum 'Li2 Y2 Sn2'
_symmetry_space_group_name_H-M 'P m m m'
_symmetry_Int_Tables_number 47
_cell_length_a 3.577
_cell_length_b 4.780
_cell_length_c 8.387
_cell_angle_alpha 90.00
_cell_angle_beta 90.00
_cell_angle_gamma 90.00
loop_
_symmetry_equiv_pos_as_xyz
'x,y,z'
'-x,-y,-z'
'-x,-y,z'
'x,y,-z'
'x,-y,-z'
'-x,y,z'
'-x,y,-z'
'x,-y,z'
loop_
_atom_site_label
_atom_site_type_symbol
_atom_site_fract_x
_atom_site_fract_y
_atom_site_fract_z
_atom_site_occupancy
Li1 Li 0.000 0.000 0.164 1
Y1 Y 0.500 0.000 0.500 1
Y2 Y 0.500 0.500 0.000 1
Sn1 Sn 0.000 0.500 0.320 1
# crystal system	orthorhombic
# energy relative to the elements	-1.32	eV/f.u.
# E	-27.41	eV for the cell shown
# V	23.9	A^3/atom

---

(4)
# BaScTc2 (PBE, relaxed)
data_BaScTc2
_chemical_formula_sum 'Ba4 Sc4 Tc8'
_symmetry_space_group_name_H-M 'I -4 2 d'
_symmetry_Int_Tables_number 122
_symmetry_space_group_name_Hall 'I -4 2bw'
_cell_length_a 4.866
_cell_length_b 4.866
_cell_length_c 18.636
_cell_angle_alpha 90.00
_cell_angle_beta 90.00
_cell_angle_gamma 90.00
loop_
_atom_site_label
_atom_site_type_symbol
_atom_site_fract_x
_atom_site_fract_y
_atom_site_fract_z
_atom_site_occupancy
Ba1 Ba 0.000 0.000 0.000 1
Sc1 Sc 0.000 0.000 0.500 1
Tc1 Tc 0.043 0.250 0.625 1
# energy relative to the lowest polymorph listed for this composition	2.513	eV per formula unit
# crystal system	tetragonal
# energy relative to the elements	3.45	eV/f.u.
# E	-102.15	eV for the cell shown
# V	27.6	A^3/atom

---

(5)
# Na3ZrPa3N8 (PBE, relaxed)
data_Na3ZrPa3N8
_chemical_formula_sum 'Na9 Zr3 Pa9 N24'
_symmetry_space_group_name_H-M 'R -3 m'
_symmetry_Int_Tables_number 166
_symmetry_space_group_name_Hall '-R 3 2"'
_cell_length_a 7.0330
_cell_length_b 7.0330
_cell_length_c 17.1000
_cell_angle_alpha 90.00
_cell_angle_beta 90.00
_cell_angle_gamma 120.00
loop_
_atom_site_label
_atom_site_type_symbol
_atom_site_fract_x
_atom_site_fract_y
_atom_site_fract_z
_atom_site_occupancy
Na1 Na 0.0000 0.5000 0.0000 1
Zr1 Zr 0.0000 0.0000 0.5000 1
Pa1 Pa 0.0000 0.5000 0.5000 1
N1 N 0.0000 0.0000 0.2294 1
N2 N 0.0055 0.5027 0.2257 1
# crystal system	trigonal
# E	-369.32	eV for the cell shown
# V	16.3	A^3/atom

---

(6)
# Bi5SbI2 (PBE, relaxed)
data_Bi5SbI2
_chemical_formula_sum 'Bi10 Sb2 I4'
_symmetry_space_group_name_H-M 'C 1 m 1'
_symmetry_Int_Tables_number 8
_cell_length_a 14.931
_cell_length_b 8.597
_cell_length_c 5.386
_cell_angle_alpha 90.00
_cell_angle_beta 92.88
_cell_angle_gamma 90.00
loop_
_symmetry_equiv_pos_as_xyz
'x,y,z'
'x,-y,z'
'x+1/2,y+1/2,z'
'x+1/2,-y+1/2,z'
loop_
_atom_site_label
_atom_site_type_symbol
_atom_site_fract_x
_atom_site_fract_y
_atom_site_fract_z
_atom_site_occupancy
Bi1 Bi 0.000 0.000 0.000 1
Bi2 Bi 0.011 0.241 0.558 1
Bi3 Bi 0.170 0.178 0.239 1
Sb1 Sb 0.101 0.500 0.860 1
I1 I 0.276 0.500 0.599 1
I2 I 0.416 0.000 0.106 1
# crystal system	monoclinic
# E	-53.69	eV for the cell shown
# V	43.2	A^3/atom